(1)
Computed, not measured: a geometry-optimized Hf3TeMo structure at the PBE-GGA level of DFT.

energy relative to the elements, uncorrected = 1.31 eV/atom
polymorph energy (0 for the lowest one) = 0.706 eV per atom
DFT total energy = -37.282 eV/cell

Unit cell a=5.137 b=5.137 c=5.137 alpha=90.00 beta=90.00 gamma=90.00
Space group Pm-3m (No. 221)
Symmetry-distinct sites (fractional):
Hf  0.000  0.000  0.500 (multiplicity 3)
Te  0.000  0.000  0.000 (multiplicity 1)
Mo  0.500  0.500  0.500 (multiplicity 1)

=====

(2)
Computed, not measured: a geometry-optimized HfTeMo structure at the PBE-GGA level of DFT.

energy relative to the elements, uncorrected = -0.37 eV/atom
DFT total energy = -50.087 eV/cell

Unit cell a=3.538 b=3.538 c=10.783 alpha=90.00 beta=90.00 gamma=90.00
Space group P4/nmm (No. 129, origin choice 2)
Symmetry-distinct sites (fractional):
Hf  0.250  0.250  0.209 (multiplicity 2)
Te  0.250  0.250  0.652 (multiplicity 2)
Mo  0.250  0.250  0.934 (multiplicity 2)

=====

(3)
Computed, not measured: a geometry-optimized HfTe3Mo structure at the PBE-GGA level of DFT.

energy relative to the elements, uncorrected = 0.65 eV/atom
polymorph energy (0 for the lowest one) = 0.000 eV per atom
DFT total energy = -26.944 eV/cell

Unit cell a=5.532 b=5.532 c=5.532 alpha=90.00 beta=90.00 gamma=90.00
Space group Pm-3m (No. 221)
Symmetry-distinct sites (fractional):
Hf  0.000  0.000  0.000 (multiplicity 1)
Te  0.000  0.000  0.500 (multiplicity 3)
Mo  0.500  0.500  0.500 (multiplicity 1)

=====

(4)
Computed, not measured: a geometry-optimized HfTe2Mo structure at the PBE-GGA level of DFT.

energy relative to the elements, uncorrected = 0.15 eV/atom
polymorph energy (0 for the lowest one) = 0.162 eV per atom
DFT total energy = -79.418 eV/cell

Unit cell a=3.3656 b=3.3656 c=28.7958 alpha=90.00 beta=90.00 gamma=120.00
Space group R-3m (No. 166, hexagonal axes)
Symmetry-distinct sites (fractional):
Hf  0.0000  0.0000  0.0000 (multiplicity 3)
Te  0.0000  0.0000  0.0998 (multiplicity 6)
Mo  0.0000  0.0000  0.5000 (multiplicity 3)

=====

(5)
Computed, not measured: a geometry-optimized HfTe2Mo structure at the PBE-GGA level of DFT.

energy relative to the elements, uncorrected = 0.38 eV/atom
polymorph energy (0 for the lowest one) = 0.395 eV per atom
DFT total energy = -102.166 eV/cell

Unit cell a=4.845 b=4.845 c=17.398 alpha=90.00 beta=90.00 gamma=90.00
Space group I-42d (No. 122)
Symmetry-distinct sites (fractional):
Hf  0.000  0.000  0.000 (multiplicity 4)
Te  0.224  0.250  0.625 (multiplicity 8)
Mo  0.000  0.000  0.500 (multiplicity 4)

=====

(6)
Computed, not measured: a geometry-optimized Hf3TeMo structure at the PBE-GGA level of DFT.

energy relative to the elements, uncorrected = 0.60 eV/atom
polymorph energy (0 for the lowest one) = 0.000 eV per atom
DFT total energy = -40.814 eV/cell

Unit cell a=5.039 b=5.039 c=5.039 alpha=90.00 beta=90.00 gamma=90.00
Space group Pm-3m (No. 221)
Symmetry-distinct sites (fractional):
Hf  0.000  0.000  0.500 (multiplicity 3)
Te  0.500  0.500  0.500 (multiplicity 1)
Mo  0.000  0.000  0.000 (multiplicity 1)